A relaxed LaTeRh2 crystal, computed with GGA-PBE.

Cell lengths 4.798, 4.798, 9.239 Å; angles 74.95, 74.95, 90.00 degrees
Sites, in units of the cell vectors:
1 La 0.750 0.250 0.500
2 Rh 0.228 0.625 0.250
3 Rh 0.875 0.772 0.750
4 Rh 0.375 0.478 0.750
5 Te 0.250 0.750 0.500
6 Rh 0.522 0.125 0.250
7 La 0.000 0.000 0.000
8 Te 0.500 0.500 0.000

Calculated values
Formation energy from raw total energies (eV per atom): -0.47
ΔE to the lowest computed polymorph (eV/f.u.): 0.92
M_tot (μB/f.u.): 0.000
Final energy (eV per atom): -6.1639
N(E_F) (states/eV/cell): 6.82

=====

A relaxed LaTeRh2 crystal, computed with GGA-PBE.

Cell lengths 3.971, 3.971, 5.543 Å; angles 90.00, 90.00, 90.00 degrees
Sites, in units of the cell vectors:
1 Rh 0.000 0.000 0.943
2 Rh 0.500 0.500 0.324
3 Te 0.000 0.000 0.423
4 La 0.500 0.500 0.810

Calculated values
Formation energy from raw total energies (eV per atom): -0.49
ΔE to the lowest computed polymorph (eV/f.u.): 0.84
M_tot (μB/f.u.): 0.000
Final energy (eV per atom): -6.1843
N(E_F) (states/eV/cell): 2.51

=====

A relaxed LaTe2Rh crystal, computed with GGA-PBE.

Cell lengths 3.930, 3.930, 7.481 Å; angles 90.00, 90.00, 112.38 degrees
Sites, in units of the cell vectors:
1 Rh 0.500 0.500 0.000
2 Te 0.000 0.000 0.211
3 Te 0.000 0.000 0.789
4 La 0.500 0.500 0.500

Calculated values
Formation energy from raw total energies (eV per atom): -0.56
ΔE to the lowest computed polymorph (eV/f.u.): 1.66
M_tot (μB/f.u.): 0.000
Final energy (eV per atom): -5.2046
N(E_F) (states/eV/cell): 1.61

=====

A relaxed La3TeRh crystal, computed with GGA-PBE.

Cell lengths 7.273, 10.146, 10.146 Å; angles 73.54, 81.73, 81.73 degrees
Sites, in units of the cell vectors:
1 Te 0.684 0.844 0.650
2 La 0.960 0.650 0.152
3 Rh 0.750 0.265 0.735
4 La 0.046 0.017 0.184
5 La 0.954 0.983 0.816
6 La 0.944 0.331 0.469
7 La 0.460 0.152 0.650
8 Rh 0.250 0.086 0.914
9 Te 0.816 0.350 0.156
10 La 0.040 0.350 0.848
11 Te 0.316 0.156 0.350
12 La 0.540 0.848 0.350
13 La 0.056 0.669 0.531
14 La 0.444 0.469 0.331
15 Rh 0.250 0.735 0.265
16 La 0.546 0.184 0.017
17 La 0.454 0.816 0.983
18 La 0.556 0.531 0.669
19 Te 0.184 0.650 0.844
20 Rh 0.750 0.914 0.086

Calculated values
Formation energy from raw total energies (eV per atom): -0.88
ΔE to the lowest computed polymorph (eV/f.u.): 0.00
M_tot (μB/f.u.): 0.000
Final energy (eV per atom): -5.9306
N(E_F) (states/eV/cell): 14.86

=====

A relaxed LaTeRh4 crystal, computed with GGA-PBE.

Cell lengths 5.398, 5.398, 5.398 Å; angles 60.00, 60.00, 60.00 degrees
Sites, in units of the cell vectors:
1 Rh 0.376 0.376 0.376
2 Rh 0.873 0.376 0.376
3 Te 0.750 0.750 0.750
4 Rh 0.376 0.376 0.873
5 La 0.000 0.000 0.000
6 Rh 0.376 0.873 0.376

Calculated values
Formation energy from raw total energies (eV per atom): -0.28
M_tot (μB/f.u.): 0.000
Final energy (eV per atom): -6.5288
N(E_F) (states/eV/cell): 8.79

=====

A relaxed LaTe2Rh crystal, computed with GGA-PBE.

Cell lengths 4.162, 4.348, 6.304 Å; angles 73.05, 90.00, 90.00 degrees
Sites, in units of the cell vectors:
1 La 0.500 0.000 0.500
2 Te 0.000 0.603 0.229
3 Te 0.000 0.397 0.771
4 Rh 0.500 0.500 0.000

Calculated values
Formation energy from raw total energies (eV per atom): -0.80
ΔE to the lowest computed polymorph (eV/f.u.): 0.74
M_tot (μB/f.u.): 0.000
Final energy (eV per atom): -5.4364
N(E_F) (states/eV/cell): 1.28

=====

A relaxed La2TeRh crystal, computed with GGA-PBE.

Cell lengths 6.336, 6.336, 6.336 Å; angles 139.61, 139.61, 58.45 degrees
Sites, in units of the cell vectors:
1 La 0.000 0.000 0.000
2 Te 0.750 0.250 0.500
3 Rh 0.500 0.500 0.000
4 La 0.250 0.750 0.500

Calculated values
Formation energy from raw total energies (eV per atom): -0.85
ΔE to the lowest computed polymorph (eV/f.u.): 1.16
M_tot (μB/f.u.): 0.000
Final energy (eV per atom): -5.9387
N(E_F) (states/eV/cell): 3.21

=====

A relaxed LaTeRh2 crystal, computed with GGA-PBE.

Cell lengths 4.158, 4.017, 5.459 Å; angles 68.16, 90.00, 90.00 degrees
Sites, in units of the cell vectors:
1 Rh 0.000 0.217 0.939
2 Te 0.000 0.485 0.408
3 La 0.500 0.764 0.846
4 Rh 0.500 0.035 0.308

Calculated values
Formation energy from raw total energies (eV per atom): -0.66
ΔE to the lowest computed polymorph (eV/f.u.): 0.16
M_tot (μB/f.u.): 0.000
Final energy (eV per atom): -6.3542
N(E_F) (states/eV/cell): 1.26

=====

A relaxed LaTe2Rh crystal, computed with GGA-PBE.

Cell lengths 6.670, 6.670, 6.670 Å; angles 39.25, 39.25, 39.25 degrees
Site moments in Bohr magnetons follow the coordinates.
Sites, in units of the cell vectors:
1 La 0.500 0.500 0.500  0.05
2 Rh 0.000 0.000 0.000  0.34
3 Te 0.268 0.268 0.268  0.05
4 Te 0.732 0.732 0.732  0.05

Calculated values
Formation energy from raw total energies (eV per atom): -0.76
ΔE to the lowest computed polymorph (eV/f.u.): 0.88
M_tot (μB/f.u.): 0.600
Final energy (eV per atom): -5.3999
N(E_F) (states/eV/cell): 4.69

=====

A relaxed La2TeRh crystal, computed with GGA-PBE.

Cell lengths 5.353, 5.353, 5.353 Å; angles 60.00, 60.00, 60.00 degrees
Sites, in units of the cell vectors:
1 Rh 0.000 0.000 0.000
2 La 0.750 0.750 0.750
3 La 0.250 0.250 0.250
4 Te 0.500 0.500 0.500

Calculated values
Formation energy from raw total energies (eV per atom): -0.82
ΔE to the lowest computed polymorph (eV/f.u.): 1.27
M_tot (μB/f.u.): 0.001
Final energy (eV per atom): -5.9110
N(E_F) (states/eV/cell): 8.27

=====

A relaxed LaTe4Rh crystal, computed with GGA-PBE.

Cell lengths 6.221, 6.221, 6.221 Å; angles 60.00, 60.00, 60.00 degrees
Sites, in units of the cell vectors:
1 Te 0.374 0.374 0.374
2 Rh 0.000 0.000 0.000
3 La 0.750 0.750 0.750
4 Te 0.878 0.374 0.374
5 Te 0.374 0.374 0.878
6 Te 0.374 0.878 0.374

Calculated values
Formation energy from raw total energies (eV per atom): 0.22
M_tot (μB/f.u.): 0.008
Final energy (eV per atom): -3.9185
N(E_F) (states/eV/cell): 6.44

=====

A relaxed La2TeRh crystal, computed with GGA-PBE.

Cell lengths 4.260, 4.260, 23.358 Å; angles 90.00, 90.00, 120.00 degrees
Sites, in units of the cell vectors:
1 Te 0.333 0.667 0.769
2 Rh 0.000 0.000 0.935
3 La 0.667 0.333 0.866
4 La 0.000 0.000 0.532
5 Te 0.000 0.000 0.102
6 La 0.667 0.333 0.672
7 Te 0.667 0.333 0.435
8 La 0.333 0.667 0.005
9 La 0.000 0.000 0.339
10 Rh 0.333 0.667 0.602
11 Rh 0.667 0.333 0.268
12 La 0.333 0.667 0.199

Calculated values
Formation energy from raw total energies (eV per atom): -1.10
ΔE to the lowest computed polymorph (eV/f.u.): 0.15
M_tot (μB/f.u.): 0.000
Final energy (eV per atom): -6.1899
N(E_F) (states/eV/cell): 9.09

=====

A relaxed La2TeRh crystal, computed with GGA-PBE.

Cell lengths 4.277, 4.277, 7.692 Å; angles 90.00, 90.00, 120.00 degrees
Sites, in units of the cell vectors:
1 Rh 0.000 0.000 0.500
2 La 0.667 0.333 0.289
3 La 0.333 0.667 0.711
4 Te 0.000 0.000 0.000

Calculated values
Formation energy from raw total energies (eV per atom): -1.09
ΔE to the lowest computed polymorph (eV/f.u.): 0.20
M_tot (μB/f.u.): 0.006
Final energy (eV per atom): -6.1798
N(E_F) (states/eV/cell): 3.58

=====

A relaxed LaTe2Rh crystal, computed with GGA-PBE.

Cell lengths 5.960, 5.960, 5.960 Å; angles 136.19, 136.19, 63.68 degrees
Sites, in units of the cell vectors:
1 Rh 0.750 0.250 0.500
2 Te 0.000 0.000 0.000
3 La 0.500 0.500 0.000
4 Te 0.250 0.750 0.500

Calculated values
Formation energy from raw total energies (eV per atom): -0.59
ΔE to the lowest computed polymorph (eV/f.u.): 1.56
M_tot (μB/f.u.): 0.000
Final energy (eV per atom): -5.2307
N(E_F) (states/eV/cell): 3.67

=====

A relaxed LaTe2Rh crystal, computed with GGA-PBE.

Cell lengths 5.216, 5.216, 5.216 Å; angles 60.00, 60.00, 60.00 degrees
Sites, in units of the cell vectors:
1 Te 0.750 0.750 0.750
2 La 0.500 0.500 0.500
3 Rh 0.000 0.000 0.000
4 Te 0.250 0.250 0.250

Calculated values
Formation energy from raw total energies (eV per atom): -0.58
ΔE to the lowest computed polymorph (eV/f.u.): 1.59
M_tot (μB/f.u.): 0.000
Final energy (eV per atom): -5.2243
N(E_F) (states/eV/cell): 5.07

=====

A relaxed LaTeRh2 crystal, computed with GGA-PBE.

Cell lengths 4.935, 4.935, 4.935 Å; angles 60.00, 60.00, 60.00 degrees
Sites, in units of the cell vectors:
1 Rh 0.250 0.250 0.250
2 Rh 0.000 0.000 0.000
3 La 0.500 0.500 0.500
4 Te 0.750 0.750 0.750

Calculated values
Formation energy from raw total energies (eV per atom): -0.20
ΔE to the lowest computed polymorph (eV/f.u.): 1.99
M_tot (μB/f.u.): 0.008
Final energy (eV per atom): -5.8960
N(E_F) (states/eV/cell): 8.09

=====

A relaxed La2TeRh crystal, computed with GGA-PBE.

Cell lengths 4.285, 8.292, 6.374 Å; angles 90.00, 90.00, 90.00 degrees
Sites, in units of the cell vectors:
1 Rh 0.500 0.692 0.104
2 La 0.500 0.113 0.414
3 Te 0.500 0.193 0.912
4 La 0.500 0.548 0.631
5 La 0.000 0.452 0.131
6 La 0.000 0.887 0.914
7 Rh 0.000 0.308 0.604
8 Te 0.000 0.807 0.412

Calculated values
Formation energy from raw total energies (eV per atom): -1.08
ΔE to the lowest computed polymorph (eV/f.u.): 0.26
M_tot (μB/f.u.): 0.000
Final energy (eV per atom): -6.1627
N(E_F) (states/eV/cell): 6.38

=====

A relaxed La2TeRh crystal, computed with GGA-PBE.

Cell lengths 8.010, 8.010, 8.010 Å; angles 31.09, 31.09, 31.09 degrees
Sites, in units of the cell vectors:
1 La 0.487 0.487 0.487
2 La 0.013 0.013 0.013
3 Te 0.250 0.250 0.250
4 Rh 0.750 0.750 0.750

Calculated values
Formation energy from raw total energies (eV per atom): -1.14
ΔE to the lowest computed polymorph (eV/f.u.): 0.00
M_tot (μB/f.u.): 0.000
Final energy (eV per atom): -6.2286
N(E_F) (states/eV/cell): 2.12

=====

A relaxed LaTeRh2 crystal, computed with GGA-PBE.

Cell lengths 5.765, 5.765, 5.765 Å; angles 140.35, 136.54, 60.27 degrees
Sites, in units of the cell vectors:
1 Rh 0.013 0.013 0.000
2 Te 0.486 0.486 0.000
3 Rh 0.258 0.758 0.500
4 La 0.743 0.243 0.500

Calculated values
Formation energy from raw total energies (eV per atom): -0.53
ΔE to the lowest computed polymorph (eV/f.u.): 0.68
M_tot (μB/f.u.): 0.000
Final energy (eV per atom): -6.2231
N(E_F) (states/eV/cell): 2.06

=====

A relaxed LaTeRh2 crystal, computed with GGA-PBE.

Cell lengths 5.841, 5.841, 5.841 Å; angles 44.94, 44.94, 44.94 degrees
Sites, in units of the cell vectors:
1 La 0.259 0.259 0.259
2 Rh 0.738 0.738 0.738
3 Rh 0.041 0.041 0.041
4 Te 0.462 0.462 0.462

Calculated values
Formation energy from raw total energies (eV per atom): -0.62
ΔE to the lowest computed polymorph (eV/f.u.): 0.32
M_tot (μB/f.u.): 0.000
Final energy (eV per atom): -6.3127
N(E_F) (states/eV/cell): 3.38

=====

A relaxed LaTe2Rh crystal, computed with GGA-PBE.

Cell lengths 9.383, 9.383, 9.383 Å; angles 24.65, 24.65, 24.65 degrees
Sites, in units of the cell vectors:
1 Rh 0.500 0.500 0.500
2 Te 0.117 0.117 0.117
3 La 0.000 0.000 0.000
4 Te 0.883 0.883 0.883

Calculated values
Formation energy from raw total energies (eV per atom): -0.36
ΔE to the lowest computed polymorph (eV/f.u.): 2.48
M_tot (μB/f.u.): 0.000
Final energy (eV per atom): -5.0004
N(E_F) (states/eV/cell): 0.78

=====

A relaxed La2TeRh crystal, computed with GGA-PBE.

Cell lengths 7.902, 7.902, 6.898 Å; angles 55.05, 55.05, 90.00 degrees
Sites, in units of the cell vectors:
1 La 0.576 0.125 0.250
2 Te 0.750 0.250 0.500
3 La 0.174 0.625 0.250
4 Rh 0.500 0.500 0.000
5 La 0.375 0.424 0.750
6 Te 0.000 0.000 0.000
7 Rh 0.250 0.750 0.500
8 La 0.875 0.826 0.750

Calculated values
Formation energy from raw total energies (eV per atom): -0.86
ΔE to the lowest computed polymorph (eV/f.u.): 1.11
M_tot (μB/f.u.): 0.000
Final energy (eV per atom): -5.9517
N(E_F) (states/eV/cell): 3.78

=====

A relaxed La2TeRh crystal, computed with GGA-PBE.

Cell lengths 5.219, 5.219, 5.219 Å; angles 60.00, 60.00, 60.00 degrees
Sites, in units of the cell vectors:
1 Rh 0.500 0.500 0.500
2 Te 0.250 0.250 0.250
3 La 0.000 0.000 0.000
4 La 0.750 0.750 0.750

Calculated values
Formation energy from raw total energies (eV per atom): -0.39
ΔE to the lowest computed polymorph (eV/f.u.): 3.01
M_tot (μB/f.u.): 0.003
Final energy (eV per atom): -5.4751
N(E_F) (states/eV/cell): 5.50

=====

A relaxed La2TeRh crystal, computed with GGA-PBE.

Cell lengths 9.528, 4.061, 15.131 Å; angles 90.00, 127.93, 90.00 degrees
Sites, in units of the cell vectors:
1 La 0.284 0.000 0.132
2 Te 0.036 0.000 0.395
3 Rh 0.532 0.000 0.406
4 La 0.284 0.000 0.870
5 La 0.716 0.000 0.868
6 Te 0.964 0.500 0.105
7 Rh 0.468 0.500 0.094
8 Te 0.036 0.500 0.895
9 La 0.284 0.500 0.632
10 La 0.284 0.500 0.370
11 Rh 0.468 0.000 0.594
12 Rh 0.532 0.500 0.906
13 La 0.716 0.500 0.368
14 La 0.716 0.500 0.630
15 La 0.716 0.000 0.130
16 Te 0.964 0.000 0.605

Calculated values
Formation energy from raw total energies (eV per atom): -1.09
ΔE to the lowest computed polymorph (eV/f.u.): 0.19
M_tot (μB/f.u.): 0.000
Final energy (eV per atom): -6.1820
N(E_F) (states/eV/cell): 11.76

=====

A relaxed LaThTeRh crystal, computed with GGA-PBE.

Cell lengths 4.191, 4.191, 8.237 Å; angles 90.00, 104.73, 120.00 degrees
Sites, in units of the cell vectors:
1 Te 0.964 0.380 0.360
2 Rh 0.313 0.554 0.883
3 Th 0.104 0.950 0.069
4 La 0.497 0.146 0.659

Calculated values
Formation energy from raw total energies (eV per atom): -1.09
M_tot (μB/f.u.): 0.000
Final energy (eV per atom): -6.7972
N(E_F) (states/eV/cell): 1.14

=====

A relaxed LaTeRh2W crystal, computed with GGA-PBE.

Cell lengths 4.735, 5.801, 4.735 Å; angles 90.00, 90.00, 90.00 degrees
Sites, in units of the cell vectors:
1 La 0.000 0.500 0.000
2 Te 0.500 0.500 0.500
3 W 0.000 0.000 0.000
4 Rh 0.500 0.000 0.000
5 Rh 0.000 0.000 0.500

Calculated values
Formation energy from raw total energies (eV per atom): 0.49
M_tot (μB/f.u.): 0.000
Final energy (eV per atom): -6.6583
N(E_F) (states/eV/cell): 4.97

=====

A relaxed LaThRh2 crystal, computed with GGA-PBE.

Cell lengths 4.045, 4.045, 7.478 Å; angles 74.31, 74.31, 60.00 degrees
Sites, in units of the cell vectors:
1 Th 0.669 0.669 0.994
2 Rh 0.080 0.080 0.761
3 La 0.497 0.497 0.510
4 Rh 0.255 0.255 0.235

Calculated values
M_tot (μB/f.u.): 0.000
ΔH_f (0 K) (meV/atom): -708
Final energy (eV per atom): -7.4708
N(E_F) (states/eV/cell): 3.46